Entry 1:
Below is crystalline TaCr2Os at its relaxed geometry, with properties calculated at the PBE level.

a = 3.0322 Å, b = 3.0322 Å, c = 6.1365 Å
α = 90.00°, β = 90.00°, γ = 90.00°
Closest atoms and distances in Å follow each position.
Positions (direct):
1 Ta 0.0000 0.0000 0.0000  5 Cr 2.67-2.90, 4 Os 2.70
2 Cr 0.0000 0.0000 0.4727  4 Cr 2.51, 4 Os 2.68
3 Cr 0.5000 0.5000 0.2604  4 Cr 2.51, 4 Ta 2.67
4 Os 0.5000 0.5000 0.7335  5 Cr 2.68-2.90, 4 Ta 2.70

Crystal system   tetragonal
Distance to the lowest polymorph of the same formula   0 meV per atom
Space-group type   P4mm, No. 99
Magnetic moment   0.5 μB/cell
Formation enthalpy at 0 K   -0.037 eV/atom
Raw total energy   -42.48 eV for the cell shown

Entry 2:
Below is crystalline LiPa4MnN8 at its relaxed geometry, with properties calculated at the PBE level.

a = 6.1328 Å, b = 6.1328 Å, c = 6.1328 Å
α = 70.83°, β = 70.83°, γ = 70.83°
Closest atoms and distances in Å follow each position.
Positions (direct):
1 Li 0.0000 0.0000 0.0000  3 N 2.04
2 Pa 0.0047 0.0047 0.5119  6 N 2.28-2.33
3 Pa 0.0047 0.5119 0.0047  6 N 2.28-2.33
4 Pa 0.5119 0.0047 0.0047  6 N 2.28-2.33
5 Pa 0.5904 0.5904 0.5904  7 N 2.30-2.53
6 Mn 0.3865 0.3865 0.3865  4 N 1.93-2.00
7 N 0.2250 0.7845 0.7845  1 Li 2.04
8 N 0.2456 0.2456 0.2456  1 Mn 1.93
9 N 0.3148 0.3148 0.7411  1 Mn 2.00
10 N 0.3148 0.7411 0.3148  1 Mn 2.00
11 N 0.7411 0.3148 0.3148  1 Mn 2.00
12 N 0.7627 0.7627 0.7627  4 Pa 2.28-2.36
13 N 0.7845 0.2250 0.7845  1 Li 2.04
14 N 0.7845 0.7845 0.2250  1 Li 2.04

Crystal system   trigonal
Space-group type   R3m, No. 160
Formation energy from raw total energies   -1.235 eV per atom
Magnetic moment   4.0 μB/cell
Raw total energy   -132.96 eV for the cell shown